Record 1
VASP calculation (GGA-PBE) on a relaxed structure of Rb3Cd4Pd.

The uncorrected energy is -1.560 eV/atom. For the energy relative to the elements, the calculation gives -0.090 eV per atom.

The space group is Imm2 (No. 44) and the conventional cell measures 6.481, 7.532 and 11.404 Å, with angles of 90.00, 90.00 and 90.00 degrees. The asymmetric unit holds Rb at (0.000, 0.000, 0.000), Rb at (0.000, 0.239, 0.351), Cd at (0.000, 0.302, 0.690), Cd at (0.237, 0.500, 0.098) and Pd at (0.000, 0.500, 0.894).

Record 2
VASP calculation (GGA-PBE) on a relaxed structure of TbPrNdTl.

The uncorrected energy is -4.202 eV/atom. As for the energy above the most stable polymorph in this dataset: 12.7 kJ/mol of atoms. For the energy relative to the elements, the calculation gives -0.066 eV per atom.

The space group is F-43m (No. 216) and the conventional cell measures 7.938, 7.938 and 7.938 Å, with angles of 90.00, 90.00 and 90.00 degrees. The asymmetric unit holds Tb at (0.000, 0.000, 0.000), Pr at (0.250, 0.250, 0.750), Nd at (0.250, 0.250, 0.250) and Tl at (0.000, 0.000, 0.500).

Record 3
VASP calculation (GGA-PBE) on a relaxed structure of Pm5MgPb3.

The uncorrected energy is -4.524 eV/atom. For the energy relative to the elements, the calculation gives -0.471 eV per atom.

The space group is P6_3/mcm (No. 193) and the conventional cell measures 9.6559, 9.6559 and 6.6817 Å, with angles of 90.00, 90.00 and 120.00 degrees. The asymmetric unit holds Pm at (0.0000, 0.2909, 0.2500), Pm at (0.3333, 0.6667, 0.0000), Mg at (0.0000, 0.0000, 0.0000) and Pb at (0.0000, 0.3657, 0.7500).

Record 4
VASP calculation (GGA-PBE) on a relaxed structure of Ac2NdHoEr.

The uncorrected energy is -4.151 eV/atom. For the energy relative to the elements, the calculation gives 0.274 eV per atom.

The space group is Pmma (No. 51) and the conventional cell measures 6.439, 9.054 and 6.647 Å, with angles of 90.00, 90.00 and 90.00 degrees. The asymmetric unit holds Ac at (0.250, 0.202, 0.214), Nd at (0.250, 0.500, 0.922), Ho at (0.250, 0.000, 0.687) and Er at (0.000, 0.500, 0.500).

Record 5
VASP calculation (GGA-PBE) on a relaxed structure of IrRuPt2.

The uncorrected energy is -7.476 eV/atom. As for the energy above the most stable polymorph in this dataset: 11.8 kJ/mol of atoms. For the energy relative to the elements, the calculation gives 0.078 eV per atom.

The space group is P4/mmm (No. 123) and the conventional cell measures 2.768, 2.768 and 7.788 Å, with angles of 90.00, 90.00 and 90.00 degrees. The asymmetric unit holds Ir at (0.000, 0.000, 0.000), Ru at (0.000, 0.000, 0.500) and Pt at (0.500, 0.500, 0.254).

Record 6
VASP calculation (GGA-PBE) on a relaxed structure of Au4Cl3.

The formation energy from raw total energies comes out at 1.26 eV per formula unit. The uncorrected energy is -2.485 eV/atom.

The space group is I4/mmm (No. 139) and the conventional cell measures 3.365, 3.365 and 26.179 Å, with angles of 90.00, 90.00 and 90.00 degrees. The asymmetric unit holds Au at (0.000, 0.000, 0.071), Au at (0.000, 0.000, 0.369), Cl at (0.000, 0.000, 0.189) and Cl at (0.000, 0.000, 0.500).

Record 7
VASP calculation (GGA-PBE) on a relaxed structure of CdTcCl2.

The formation energy from raw total energies comes out at 2.43 eV per formula unit. The uncorrected energy is -3.136 eV/atom. As for the energy above the most stable polymorph in this dataset: 78.4 kJ/mol of atoms.

The space group is F-43m (No. 216) and the conventional cell measures 6.978, 6.978 and 6.978 Å, with angles of 90.00, 90.00 and 90.00 degrees. The asymmetric unit holds Cd at (0.000, 0.000, 0.000), Tc at (0.250, 0.250, 0.750), Cl at (0.000, 0.000, 0.500) and Cl at (0.250, 0.250, 0.250).

Record 8
VASP calculation (GGA-PBE) on a relaxed structure of BaNpTl2F8.

The formation energy from raw total energies comes out at -36.42 eV per formula unit. The uncorrected energy is -5.915 eV/atom.

The space group is P2/m (No. 10) and the conventional cell measures 4.135, 8.508 and 6.730 Å, with angles of 90.00, 90.29 and 90.00 degrees. The asymmetric unit holds Ba at (0.000, 0.000, 0.000), Np at (0.000, 0.500, 0.000), Tl at (0.500, 0.246, 0.500), F at (0.002, 0.292, 0.801), F at (0.498, 0.000, 0.757) and F at (0.498, 0.500, 0.180).